YSbSe2 (PBE-GGA, relaxed); D(E_F) = 1.0 states/eV/f.u.; E_tot = -21.6 eV per cell; formation energy without anion corrections = -1.01 eV/atom
1.0
-0.758 6.824 6.163
0.032 3.655 8.471
3.019 5.613 6.671
Y Se Sb
1 2 1
direct
0.500 0.500 0.500
0.105 0.105 0.105
0.895 0.895 0.895
0.000 0.000 0.000